w.
# PBE with a Hubbard U Fe2AgF6, optimized geometry
data_Fe2AgF6
_space_group_name_H-M_alt 'P 1'
_space_group_IT_number 1
_space_group_name_Hall 'P 1'
_cell_length_a 5.131
_cell_length_b 5.472
_cell_length_c 5.472
_cell_angle_alpha 120.00
_cell_angle_beta 90.00
_cell_angle_gamma 90.00
loop_
_atom_site_label
_atom_site_type_symbol
_atom_site_fract_x
_atom_site_fract_y
_atom_site_fract_z
F1 F 0.295 0.000 0.631
F2 F 0.295 0.631 0.000
F3 F 0.295 0.369 0.369
F4 F 0.705 0.631 0.631
F5 F 0.705 0.369 0.000
F6 F 0.705 0.000 0.369
Fe1 Fe 0.500 0.667 0.333
Fe2 Fe 0.500 0.333 0.667
Ag1 Ag 0.000 0.000 0.000
# V = 133.1 Å³/cell
# Total magnetization = 1.000 μB/atom
# Symmetry = P-31m (162)



x.
# PBE with a Hubbard U Fe2AgF6, optimized geometry
data_Fe2AgF6
_space_group_name_H-M_alt 'P 1'
_space_group_IT_number 1
_space_group_name_Hall 'P 1'
_cell_length_a 5.038
_cell_length_b 5.038
_cell_length_c 9.825
_cell_angle_alpha 90.00
_cell_angle_beta 90.00
_cell_angle_gamma 90.00
loop_
_atom_site_label
_atom_site_type_symbol
_atom_site_fract_x
_atom_site_fract_y
_atom_site_fract_z
F1 F 0.221 0.779 0.307
F2 F 0.670 0.670 0.500
F3 F 0.779 0.221 0.307
F4 F 0.170 0.830 0.000
F5 F 0.721 0.721 0.193
F6 F 0.279 0.279 0.193
F7 F 0.330 0.330 0.500
F8 F 0.279 0.279 0.807
F9 F 0.221 0.779 0.693
F10 F 0.830 0.170 0.000
F11 F 0.721 0.721 0.807
F12 F 0.779 0.221 0.693
Ag1 Ag 0.000 0.000 0.500
Ag2 Ag 0.500 0.500 0.000
Fe1 Fe 0.500 0.500 0.331
Fe2 Fe 0.000 0.000 0.831
Fe3 Fe 0.000 0.000 0.169
Fe4 Fe 0.500 0.500 0.669
# V = 249.4 Å³/cell
# Total magnetization = 1.000 μB/atom
# Symmetry = P4_2/mnm (136)



Name the least stable of them. x.



w.
# PBE with a Hubbard U FeAg2F, optimized geometry
data_FeAg2F
_space_group_name_H-M_alt 'P 1'
_space_group_IT_number 1
_space_group_name_Hall 'P 1'
_cell_length_a 7.184
_cell_length_b 7.184
_cell_length_c 5.732
_cell_angle_alpha 51.20
_cell_angle_beta 51.20
_cell_angle_gamma 90.00
loop_
_atom_site_label
_atom_site_type_symbol
_atom_site_fract_x
_atom_site_fract_y
_atom_site_fract_z
F1 F 0.250 0.750 0.500
F2 F 0.500 0.500 0.000
Fe1 Fe 0.750 0.250 0.500
Fe2 Fe 0.000 0.000 0.000
Ag1 Ag 0.375 0.406 0.750
Ag2 Ag 0.594 0.125 0.250
Ag3 Ag 0.875 0.844 0.750
Ag4 Ag 0.156 0.625 0.250
# V = 137.0 Å³/cell
# Total magnetization = 0.990 μB/atom
# Symmetry = I-42d (122)



x.
# PBE with a Hubbard U FeAg2F, optimized geometry
data_FeAg2F
_space_group_name_H-M_alt 'P 1'
_space_group_IT_number 1
_space_group_name_Hall 'P 1'
_cell_length_a 4.469
_cell_length_b 4.469
_cell_length_c 4.469
_cell_angle_alpha 60.00
_cell_angle_beta 60.00
_cell_angle_gamma 60.00
loop_
_atom_site_label
_atom_site_type_symbol
_atom_site_fract_x
_atom_site_fract_y
_atom_site_fract_z
Ag1 Ag 0.250 0.250 0.250
Ag2 Ag 0.750 0.750 0.750
Fe1 Fe 0.500 0.500 0.500
F1 F 0.000 0.000 0.000
# V = 63.1 Å³/cell
# Total magnetization = 0.853 μB/atom
# Symmetry = Fm-3m (225)



Name the least stable of them. x.



w.
# PBE with a Hubbard U FeAg3F, optimized geometry
data_FeAg3F
_space_group_name_H-M_alt 'P 1'
_space_group_IT_number 1
_space_group_name_Hall 'P 1'
_cell_length_a 4.963
_cell_length_b 4.963
_cell_length_c 4.963
_cell_angle_alpha 90.00
_cell_angle_beta 90.00
_cell_angle_gamma 90.00
loop_
_atom_site_label
_atom_site_type_symbol
_atom_site_fract_x
_atom_site_fract_y
_atom_site_fract_z
Ag1 Ag 0.000 0.500 0.000
Ag2 Ag 0.500 0.000 0.000
Ag3 Ag 0.000 0.000 0.500
Fe1 Fe 0.000 0.000 0.000
F1 F 0.500 0.500 0.500
# V = 122.3 Å³/cell
# Total magnetization = 0.610 μB/atom
# Symmetry = Pm-3m (221)



x.
# PBE with a Hubbard U FeAg3F, optimized geometry
data_FeAg3F
_space_group_name_H-M_alt 'P 1'
_space_group_IT_number 1
_space_group_name_Hall 'P 1'
_cell_length_a 4.605
_cell_length_b 4.605
_cell_length_c 4.605
_cell_angle_alpha 90.00
_cell_angle_beta 90.00
_cell_angle_gamma 90.00
loop_
_atom_site_label
_atom_site_type_symbol
_atom_site_fract_x
_atom_site_fract_y
_atom_site_fract_z
F1 F 0.000 0.000 0.000
Ag1 Ag 0.000 0.500 0.000
Ag2 Ag 0.500 0.000 0.000
Ag3 Ag 0.000 0.000 0.500
Fe1 Fe 0.500 0.500 0.500
# V = 97.7 Å³/cell
# Total magnetization = 0.680 μB/atom
# Symmetry = Pm-3m (221)



Name the least stable of them. w.



w.
# PBE with a Hubbard U Fe3AgF, optimized geometry
data_Fe3AgF
_space_group_name_H-M_alt 'P 1'
_space_group_IT_number 1
_space_group_name_Hall 'P 1'
_cell_length_a 4.271
_cell_length_b 4.271
_cell_length_c 4.271
_cell_angle_alpha 90.00
_cell_angle_beta 90.00
_cell_angle_gamma 90.00
loop_
_atom_site_label
_atom_site_type_symbol
_atom_site_fract_x
_atom_site_fract_y
_atom_site_fract_z
Ag1 Ag 0.500 0.500 0.500
F1 F 0.000 0.000 0.000
Fe1 Fe 0.000 0.000 0.500
Fe2 Fe 0.000 0.500 0.000
Fe3 Fe 0.500 0.000 0.000
# V = 77.9 Å³/cell
# Total magnetization = 2.046 μB/atom
# Symmetry = Pm-3m (221)



x.
# PBE with a Hubbard U Fe3AgF, optimized geometry
data_Fe3AgF
_space_group_name_H-M_alt 'P 1'
_space_group_IT_number 1
_space_group_name_Hall 'P 1'
_cell_length_a 5.031
_cell_length_b 5.031
_cell_length_c 5.031
_cell_angle_alpha 90.00
_cell_angle_beta 90.00
_cell_angle_gamma 90.00
loop_
_atom_site_label
_atom_site_type_symbol
_atom_site_fract_x
_atom_site_fract_y
_atom_site_fract_z
Ag1 Ag 0.000 0.000 0.000
Fe1 Fe 0.000 0.000 0.500
Fe2 Fe 0.000 0.500 0.000
Fe3 Fe 0.500 0.000 0.000
F1 F 0.500 0.500 0.500
# V = 127.3 Å³/cell
# Total magnetization = 2.362 μB/atom
# Symmetry = Pm-3m (221)



Name the least stable of them. x.



w.
# PBE with a Hubbard U Na2FeAgF6, optimized geometry
data_Na2FeAgF6
_space_group_name_H-M_alt 'P 1'
_space_group_IT_number 1
_space_group_name_Hall 'P 1'
_cell_length_a 5.580
_cell_length_b 5.922
_cell_length_c 8.194
_cell_angle_alpha 90.00
_cell_angle_beta 88.86
_cell_angle_gamma 90.00
loop_
_atom_site_label
_atom_site_type_symbol
_atom_site_fract_x
_atom_site_fract_y
_atom_site_fract_z
F1 F 0.153 0.243 0.098
F2 F 0.124 0.404 0.792
F3 F 0.347 0.743 0.402
F4 F 0.211 0.165 0.464
F5 F 0.876 0.596 0.208
F6 F 0.376 0.904 0.708
F7 F 0.711 0.335 0.964
F8 F 0.289 0.665 0.036
F9 F 0.624 0.096 0.292
F10 F 0.847 0.757 0.902
F11 F 0.653 0.257 0.598
F12 F 0.789 0.835 0.536
Na1 Na 0.987 0.045 0.731
Na2 Na 0.513 0.545 0.769
Na3 Na 0.487 0.455 0.231
Na4 Na 0.013 0.955 0.269
Ag1 Ag 0.000 0.500 0.500
Ag2 Ag 0.500 0.000 0.000
Fe1 Fe 0.500 0.000 0.500
Fe2 Fe 0.000 0.500 0.000
# V = 270.7 Å³/cell
# Total magnetization = 0.105 μB/atom
# Symmetry = P2_1/c (14)



x.
# PBE with a Hubbard U Na2FeAgF6, optimized geometry
data_Na2FeAgF6
_space_group_name_H-M_alt 'P 1'
_space_group_IT_number 1
_space_group_name_Hall 'P 1'
_cell_length_a 6.084
_cell_length_b 6.084
_cell_length_c 6.084
_cell_angle_alpha 60.00
_cell_angle_beta 60.00
_cell_angle_gamma 60.00
loop_
_atom_site_label
_atom_site_type_symbol
_atom_site_fract_x
_atom_site_fract_y
_atom_site_fract_z
F1 F 0.226 0.226 0.774
F2 F 0.774 0.226 0.774
F3 F 0.226 0.774 0.226
F4 F 0.774 0.226 0.226
F5 F 0.774 0.774 0.226
F6 F 0.226 0.774 0.774
Na1 Na 0.750 0.750 0.750
Na2 Na 0.250 0.250 0.250
Fe1 Fe 0.000 0.000 0.000
Ag1 Ag 0.500 0.500 0.500
# V = 159.2 Å³/cell
# Total magnetization = 0.499 μB/atom
# Symmetry = Fm-3m (225)



Name the least stable of them. w.



w.
# PBE with a Hubbard U FeAg2PbF, optimized geometry
data_FeAg2PbF
_space_group_name_H-M_alt 'P 1'
_space_group_IT_number 1
_space_group_name_Hall 'P 1'
_cell_length_a 4.636
_cell_length_b 4.972
_cell_length_c 4.636
_cell_angle_alpha 90.00
_cell_angle_beta 90.00
_cell_angle_gamma 90.00
loop_
_atom_site_label
_atom_site_type_symbol
_atom_site_fract_x
_atom_site_fract_y
_atom_site_fract_z
Ag1 Ag 0.500 0.000 0.000
Ag2 Ag 0.000 0.000 0.500
Fe1 Fe 0.500 0.500 0.500
F1 F 0.000 0.000 0.000
Pb1 Pb 0.000 0.500 0.000
# V = 106.9 Å³/cell
# Total magnetization = 0.683 μB/atom
# Symmetry = P4/mmm (123)



x.
# PBE with a Hubbard U FeAg2PbF, optimized geometry
data_FeAg2PbF
_space_group_name_H-M_alt 'P 1'
_space_group_IT_number 1
_space_group_name_Hall 'P 1'
_cell_length_a 5.220
_cell_length_b 3.859
_cell_length_c 5.220
_cell_angle_alpha 90.00
_cell_angle_beta 90.00
_cell_angle_gamma 90.00
loop_
_atom_site_label
_atom_site_type_symbol
_atom_site_fract_x
_atom_site_fract_y
_atom_site_fract_z
F1 F 0.000 0.000 0.000
Ag1 Ag 0.000 0.000 0.500
Ag2 Ag 0.500 0.000 0.000
Fe1 Fe 0.000 0.500 0.000
Pb1 Pb 0.500 0.500 0.500
# V = 105.1 Å³/cell
# Total magnetization = 0.772 μB/atom
# Symmetry = P4/mmm (123)



Name the least stable of them. w.